LaTlPt2 | PBE | optimized geometry

Cell and atoms, written as POSCAR:
```
LaTlPt2
1.0
4.332 0.000 0.000
0.000 2.022 5.284
0.000 -2.022 5.284
La Tl Pt
1 1 2
Direct
0.000 0.000 0.000
0.500 0.710 0.710
0.000 0.274 0.274
0.500 0.439 0.439
```

Values from the calculation:
Space-group type   No. 38
ΔH_f (0 K)   -3.0 eV per formula unit

Ce2PaSe5 | PBE | optimized geometry

Cell and atoms, written as POSCAR:
```
Ce2PaSe5
1.0
12.432 0.000 0.000
0.000 8.469 0.000
0.000 0.000 7.841
Ce Pa Se
8 4 20
Direct
0.177 0.000 0.030
0.177 0.500 0.030
0.323 0.000 0.530
0.323 0.500 0.530
0.677 0.000 0.470
0.677 0.500 0.470
0.823 0.000 0.970
0.823 0.500 0.970
0.008 0.250 0.576
0.492 0.750 0.076
0.508 0.250 0.924
0.992 0.750 0.424
0.001 0.250 0.956
0.094 0.545 0.667
0.094 0.955 0.667
0.187 0.250 0.335
0.216 0.750 0.307
0.284 0.250 0.807
0.313 0.750 0.835
0.406 0.045 0.167
0.406 0.455 0.167
0.499 0.750 0.456
0.501 0.250 0.544
0.594 0.545 0.833
0.594 0.955 0.833
0.687 0.250 0.165
0.716 0.750 0.193
0.784 0.250 0.693
0.813 0.750 0.665
0.906 0.045 0.333
0.906 0.455 0.333
0.999 0.750 0.044
```

Values from the calculation:
Space-group type   No. 62

Number 1: V 23.138 Å³ per atom, DFT total energy -5.60 eV/atom. Number 2: V 25.796 Å³ per atom, DFT total energy -6.53 eV/atom.